Compound: CdAsIr2I
Source: Alexandria via LeMat-Bulk
Functional: PBE
Structure: relaxed

The structure in POSCAR format:
```
CdAsIr2I
1.0
4.634 0.000 0.000
0.000 4.634 0.000
0.000 0.000 5.554
Cd As Ir I
1 1 2 1
direct
0.000 0.000 0.000
0.000 0.000 0.500
0.000 0.500 0.500
0.500 0.000 0.500
0.500 0.500 0.000
```

Results
formation energy (no corrections)	933	meV/atom